NdHoIn3: relaxed, PBE.

Unit cell a=7.287 b=7.287 c=6.504 alpha=90.00 beta=90.00 gamma=120.00
Fractional positions:
Nd 0.333 0.667 0.250
Nd 0.667 0.333 0.750
Ho 0.000 0.000 0.000
Ho 0.000 0.000 0.500
In 0.202 0.404 0.750
In 0.202 0.798 0.750
In 0.404 0.202 0.250
In 0.596 0.798 0.750
In 0.798 0.202 0.250
In 0.798 0.596 0.250

Properties
The value obtained for the energy of formation is -23.2 kJ per mole of atoms. Its symmetry is P6_3/mmc (194). The calculation puts the density at 7.26 Mg/m³. The calculation puts the final energy at -37.52 eV for the cell shown. The value obtained for the spin magnetization is 0.00 μB/atom.